PmCu2GeIr: relaxed, PBE.

Computed properties:
The calculation puts the calculated density at 10.26 Mg/m³. Its calculated total energy is -5.669 eV per atom. Its volume is 86.9 Å³ per cell. The magnetic moment is 0.00 μB/atom.

Cell and atoms, written as POSCAR:
```
PmCu2GeIr
1.0
-1.981 2.036 5.384
1.981 -2.036 5.384
1.981 2.036 -5.384
Pm Cu Ge Ir
1 2 1 1
Direct
0.000 0.000 0.000
0.600 0.600 0.000
0.742 0.242 0.500
0.375 0.375 0.000
0.241 0.741 0.500
```